No. 1
# PBE SrCa2I6, optimized geometry
data_SrCa2I6
_cell_length_a 9.0314
_cell_length_b 7.3174
_cell_length_c 24.5424
_cell_angle_alpha 90.00
_cell_angle_beta 99.44
_cell_angle_gamma 90.00
_symmetry_space_group_name_H-M 'P 1 21/c 1'
_symmetry_Int_Tables_number 14
_symmetry_space_group_name_Hall '-P 2ybc'
loop_
_atom_site_label
_atom_site_fract_x
_atom_site_fract_y
_atom_site_fract_z
Sr1 0.1093 0.0034 0.4155
Ca1 0.2536 0.5145 0.2484
Ca2 0.4008 0.0085 0.0846
I1 0.0222 0.7342 0.8014
I2 0.1269 0.2474 0.0283
I3 0.1853 0.7501 0.1404
I4 0.3247 0.2214 0.8562
I5 0.3840 0.7402 0.4780
I6 0.4734 0.2485 0.6925
# Magnetic moment   0.00 μB/f.u.
# Volume   44.4 A^3/atom
# Formation energy from raw total energies   -1.612 eV/atom
# N(E_F)   0.000 states/eV/atom

***

No. 2
# PBE Pr4YS4, optimized geometry
data_Pr4YS4
_cell_length_a 9.0003
_cell_length_b 9.0003
_cell_length_c 5.7887
_cell_angle_alpha 90.00
_cell_angle_beta 90.00
_cell_angle_gamma 90.00
_symmetry_space_group_name_H-M 'I 4/m'
_symmetry_Int_Tables_number 87
_symmetry_space_group_name_Hall '-I 4'
loop_
_atom_site_label
_atom_site_fract_x
_atom_site_fract_y
_atom_site_fract_z
Pr1 0.0991 0.6983 0.0000
Y1 0.0000 0.0000 0.5000
S1 0.0972 0.7071 0.5000
# Magnetic moment   0.00 μB/f.u.
# Volume   26.1 A^3/atom
# Formation energy from raw total energies   -1.766 eV/atom
# N(E_F)   0.680 states/eV/atom

***

No. 3
# PBE KMnPt3, optimized geometry
data_KMnPt3
_cell_length_a 4.8583
_cell_length_b 4.8583
_cell_length_c 4.8583
_cell_angle_alpha 90.00
_cell_angle_beta 90.00
_cell_angle_gamma 90.00
_symmetry_space_group_name_H-M 'P m -3 m'
_symmetry_Int_Tables_number 221
_symmetry_space_group_name_Hall '-P 4 2 3'
loop_
_atom_site_label
_atom_site_fract_x
_atom_site_fract_y
_atom_site_fract_z
K1 0.0000 0.0000 0.0000
Mn1 0.5000 0.5000 0.5000
Pt1 0.0000 0.0000 0.5000
# ΔE to the lowest computed polymorph   2028 meV/atom
# Magnetic moment   0.53 μB/f.u.
# ΔH_f (0 K)   2633 meV/atom
# Volume   22.9 A^3/atom
# N(E_F)   2.499 states/eV/atom

***

No. 4
# PBE Tl5HgPd3, optimized geometry
data_Tl5HgPd3
_cell_length_a 13.0384
_cell_length_b 9.9707
_cell_length_c 9.6450
_cell_angle_alpha 90.00
_cell_angle_beta 130.02
_cell_angle_gamma 90.00
_symmetry_space_group_name_H-M 'C 1 2/m 1'
_symmetry_Int_Tables_number 12
_symmetry_space_group_name_Hall '-C 2y'
loop_
_atom_site_label
_atom_site_fract_x
_atom_site_fract_y
_atom_site_fract_z
Tl1 0.0000 0.2167 0.0000
Tl2 0.0205 0.0000 0.3157
Tl3 0.1659 0.2615 0.6336
Tl4 0.1757 0.5000 0.9102
Hg1 0.1411 0.5000 0.3740
Pd1 0.0000 0.5000 0.0000
Pd2 0.0000 0.5000 0.5000
Pd3 0.1849 0.0000 0.2283
Pd4 0.2104 0.0000 0.7340
# ΔE to the lowest computed polymorph   30 meV/atom
# Magnetic moment   0.00 μB/f.u.
# ΔH_f (0 K)   -61 meV/atom
# Volume   26.7 A^3/atom
# N(E_F)   0.381 states/eV/atom

***

No. 5
# PBE Ba2MnZn, optimized geometry
data_Ba2MnZn
_cell_length_a 4.0962
_cell_length_b 4.1275
_cell_length_c 8.1746
_cell_angle_alpha 90.00
_cell_angle_beta 90.00
_cell_angle_gamma 90.00
_symmetry_space_group_name_H-M 'P m m m'
_symmetry_Int_Tables_number 47
_symmetry_space_group_name_Hall '-P 2 2'
loop_
_atom_site_label
_atom_site_fract_x
_atom_site_fract_y
_atom_site_fract_z
Ba1 0.0000 0.0000 0.2484
Mn1 0.5000 0.5000 0.5000
Zn1 0.5000 0.5000 0.0000
# Magnetic moment   3.83 μB/f.u.
# ΔH_f (0 K)   266 meV/atom
# Volume   34.6 A^3/atom
# N(E_F)   1.032 states/eV/atom

***

No. 6
# PBE LiPr6Tl5, optimized geometry
data_LiPr6Tl5
_cell_length_a 6.8745
_cell_length_b 11.3222
_cell_length_c 10.1000
_cell_angle_alpha 90.00
_cell_angle_beta 100.07
_cell_angle_gamma 90.00
_symmetry_space_group_name_H-M 'C 1 2/m 1'
_symmetry_Int_Tables_number 12
_symmetry_space_group_name_Hall '-C 2y'
loop_
_atom_site_label
_atom_site_fract_x
_atom_site_fract_y
_atom_site_fract_z
Li1 0.0000 0.0000 0.0000
Pr1 0.2231 0.5000 0.2223
Pr2 0.2252 0.3245 0.7356
Tl1 0.0000 0.1416 0.5000
Tl2 0.0000 0.2888 0.0000
Tl3 0.0000 0.5000 0.5000
# ΔE to the lowest computed polymorph   150 meV/atom
# Magnetic moment   0.00 μB/f.u.
# ΔH_f (0 K)   -185 meV/atom
# Volume   32.3 A^3/atom
# N(E_F)   0.914 states/eV/atom

***

No. 7
# PBE Na12Hg6Pb, optimized geometry
data_Na12Hg6Pb
_cell_length_a 10.4592
_cell_length_b 10.4592
_cell_length_c 10.4592
_cell_angle_alpha 90.00
_cell_angle_beta 90.00
_cell_angle_gamma 90.00
_symmetry_space_group_name_H-M 'I m -3'
_symmetry_Int_Tables_number 204
_symmetry_space_group_name_Hall '-I 2 2 3'
loop_
_atom_site_label
_atom_site_fract_x
_atom_site_fract_y
_atom_site_fract_z
Na1 0.0000 0.2750 0.1779
Hg1 0.0000 0.1419 0.5000
Pb1 0.0000 0.0000 0.0000
# Magnetic moment   0.00 μB/f.u.
# ΔH_f (0 K)   -154 meV/atom
# Volume   30.1 A^3/atom
# N(E_F)   0.550 states/eV/atom

***

No. 8
# PBE DyHoZnCu, optimized geometry
data_DyHoZnCu
_cell_length_a 7.0196
_cell_length_b 7.0196
_cell_length_c 7.0196
_cell_angle_alpha 90.00
_cell_angle_beta 90.00
_cell_angle_gamma 90.00
_symmetry_space_group_name_H-M 'F -4 3 m'
_symmetry_Int_Tables_number 216
_symmetry_space_group_name_Hall 'F -4 2 3'
loop_
_atom_site_label
_atom_site_fract_x
_atom_site_fract_y
_atom_site_fract_z
Dy1 0.0000 0.0000 0.0000
Ho1 0.0000 0.0000 0.5000
Zn1 0.2500 0.2500 0.2500
Cu1 0.2500 0.2500 0.7500
# ΔE to the lowest computed polymorph   8 meV/atom
# Magnetic moment   0.00 μB/f.u.
# ΔH_f (0 K)   -292 meV/atom
# Volume   21.6 A^3/atom
# N(E_F)   0.575 states/eV/atom

***

No. 9
# PBE CuTc, optimized geometry
data_CuTc
_cell_length_a 2.7046
_cell_length_b 2.7046
_cell_length_c 25.8945
_cell_angle_alpha 90.00
_cell_angle_beta 90.00
_cell_angle_gamma 120.00
_symmetry_space_group_name_H-M 'R -3 m'
_symmetry_Int_Tables_number 166
_symmetry_space_group_name_Hall '-R 3 2"'
loop_
_atom_site_label
_atom_site_fract_x
_atom_site_fract_y
_atom_site_fract_z
Cu1 0.0000 0.0000 0.1276
Tc1 0.0000 0.0000 0.3739
# ΔE to the lowest computed polymorph   30 meV/atom
# Magnetic moment   0.00 μB/f.u.
# ΔH_f (0 K)   124 meV/atom
# Volume   13.7 A^3/atom
# N(E_F)   0.891 states/eV/atom

***

No. 10
# PBE Sm3GeSeCl, optimized geometry
data_Sm3GeSeCl
_cell_length_a 8.5335
_cell_length_b 4.1396
_cell_length_c 10.1250
_cell_angle_alpha 90.00
_cell_angle_beta 91.44
_cell_angle_gamma 90.00
_symmetry_space_group_name_H-M 'P 1 21/m 1'
_symmetry_Int_Tables_number 11
_symmetry_space_group_name_Hall '-P 2yb'
loop_
_atom_site_label
_atom_site_fract_x
_atom_site_fract_y
_atom_site_fract_z
Sm1 0.1192 0.2500 0.3530
Sm2 0.1590 0.2500 0.9229
Sm3 0.3724 0.7500 0.6367
Ge1 0.1277 0.2500 0.6441
Se1 0.3736 0.7500 0.3440
Cl1 0.3754 0.7500 0.9184
# Magnetic moment   1.18 μB/f.u.
# Volume   29.8 A^3/atom
# Formation energy from raw total energies   -1.307 eV/atom
# N(E_F)   0.448 states/eV/atom

***

No. 11
# PBE Li2CaZr2, optimized geometry
data_Li2CaZr2
_cell_length_a 8.7456
_cell_length_b 8.7456
_cell_length_c 3.0405
_cell_angle_alpha 90.00
_cell_angle_beta 90.00
_cell_angle_gamma 90.00
_symmetry_space_group_name_H-M 'P 4/m b m'
_symmetry_Int_Tables_number 127
_symmetry_space_group_name_Hall '-P 4 2ab'
loop_
_atom_site_label
_atom_site_fract_x
_atom_site_fract_y
_atom_site_fract_z
Li1 0.1755 0.3245 0.0000
Ca1 0.0000 0.0000 0.5000
Zr1 0.1185 0.6185 0.5000
# ΔE to the lowest computed polymorph   0 meV/atom
# Magnetic moment   0.00 μB/f.u.
# ΔH_f (0 K)   413 meV/atom
# Volume   23.3 A^3/atom
# N(E_F)   1.847 states/eV/atom

***

No. 12
# PBE CaTaCu2, optimized geometry
data_CaTaCu2
_cell_length_a 2.8284
_cell_length_b 4.7962
_cell_length_c 10.2683
_cell_angle_alpha 90.00
_cell_angle_beta 90.00
_cell_angle_gamma 90.00
_symmetry_space_group_name_H-M 'I m m 2'
_symmetry_Int_Tables_number 44
_symmetry_space_group_name_Hall 'I 2 -2'
loop_
_atom_site_label
_atom_site_fract_x
_atom_site_fract_y
_atom_site_fract_z
Ca1 0.0000 0.0000 0.0000
Ta1 0.0000 0.5000 0.7930
Cu1 0.0000 0.0000 0.5274
Cu2 0.0000 0.5000 0.2304
# ΔE to the lowest computed polymorph   189 meV/atom
# Magnetic moment   0.00 μB/f.u.
# ΔH_f (0 K)   345 meV/atom
# Volume   17.4 A^3/atom
# N(E_F)   0.532 states/eV/atom

***

No. 13
# PBE MgZrFeSn, optimized geometry
data_MgZrFeSn
_cell_length_a 6.5055
_cell_length_b 6.5055
_cell_length_c 6.5055
_cell_angle_alpha 90.00
_cell_angle_beta 90.00
_cell_angle_gamma 90.00
_symmetry_space_group_name_H-M 'F -4 3 m'
_symmetry_Int_Tables_number 216
_symmetry_space_group_name_Hall 'F -4 2 3'
loop_
_atom_site_label
_atom_site_fract_x
_atom_site_fract_y
_atom_site_fract_z
Mg1 0.0000 0.0000 0.0000
Zr1 0.2500 0.2500 0.2500
Fe1 0.0000 0.0000 0.5000
Sn1 0.2500 0.2500 0.7500
# Magnetic moment   0.00 μB/f.u.
# ΔH_f (0 K)   -100 meV/atom
# Volume   17.2 A^3/atom

***

No. 14
# PBE Mn5P, optimized geometry
data_Mn5P
_cell_length_a 4.2803
_cell_length_b 4.2803
_cell_length_c 4.0619
_cell_angle_alpha 90.00
_cell_angle_beta 90.00
_cell_angle_gamma 120.00
_symmetry_space_group_name_H-M 'P -6 2 m'
_symmetry_Int_Tables_number 189
_symmetry_space_group_name_Hall 'P -6 -2'
loop_
_atom_site_label
_atom_site_fract_x
_atom_site_fract_y
_atom_site_fract_z
Mn1 0.0000 0.6750 0.0000
Mn2 0.3333 0.6667 0.5000
P1 0.0000 0.0000 0.5000
# ΔE to the lowest computed polymorph   31 meV/atom
# Magnetic moment   1.29 μB/f.u.
# ΔH_f (0 K)   -131 meV/atom
# Volume   10.7 A^3/atom
# N(E_F)   0.891 states/eV/atom

***

No. 15
# PBE Tb6DyHo2Th, optimized geometry
data_Tb6DyHo2Th
_cell_length_a 9.2734
_cell_length_b 14.9062
_cell_length_c 9.3850
_cell_angle_alpha 90.00
_cell_angle_beta 95.58
_cell_angle_gamma 90.00
_symmetry_space_group_name_H-M 'C 1 2/c 1'
_symmetry_Int_Tables_number 15
_symmetry_space_group_name_Hall '-C 2yc'
loop_
_atom_site_label
_atom_site_fract_x
_atom_site_fract_y
_atom_site_fract_z
Tb1 0.0593 0.1761 0.4406
Tb2 0.0950 0.3866 0.6134
Tb3 0.2092 0.2216 0.8148
Dy1 0.0000 0.4101 0.2500
Ho1 0.2484 0.4501 0.9465
Th1 0.0000 0.0335 0.7500
# Magnetic moment   0.00 μB/f.u.
# ΔH_f (0 K)   150 meV/atom
# Volume   32.3 A^3/atom
# N(E_F)   1.459 states/eV/atom

***

No. 16
# PBE Al13Rh4, optimized geometry
data_Al13Rh4
_cell_length_a 15.6535
_cell_length_b 8.4230
_cell_length_c 12.8044
_cell_angle_alpha 90.00
_cell_angle_beta 107.89
_cell_angle_gamma 90.00
_symmetry_space_group_name_H-M 'C 1 2/m 1'
_symmetry_Int_Tables_number 12
_symmetry_space_group_name_Hall '-C 2y'
loop_
_atom_site_label
_atom_site_fract_x
_atom_site_fract_y
_atom_site_fract_z
Al1 0.0000 0.0000 0.0000
Al2 0.0000 0.2494 0.5000
Al3 0.0075 0.2309 0.1760
Al4 0.0206 0.0000 0.6697
Al5 0.0683 0.5000 0.6755
Al6 0.0775 0.5000 0.0826
Al7 0.0915 0.5000 0.2884
Al8 0.1291 0.2173 0.3899
Al9 0.1366 0.2253 0.0180
Al10 0.1639 0.0000 0.1998
Al11 0.1784 0.2780 0.8300
Al12 0.1842 0.2769 0.6142
Al13 0.2033 0.0000 0.7325
Al14 0.2396 0.5000 0.0114
Al15 0.2460 0.5000 0.4860
Rh1 0.0825 0.5000 0.8836
Rh2 0.0917 0.5000 0.4841
Rh3 0.1024 0.0000 0.5214
Rh4 0.1029 0.0000 0.8744
Rh5 0.1766 0.2802 0.2199
# Magnetic moment   0.00 μB/f.u.
# ΔH_f (0 K)   -611 meV/atom
# Volume   15.8 A^3/atom
# N(E_F)   0.316 states/eV/atom

***

No. 17
# PBE Zn2IrPt2, optimized geometry
data_Zn2IrPt2
_cell_length_a 7.3752
_cell_length_b 7.3752
_cell_length_c 2.8067
_cell_angle_alpha 90.00
_cell_angle_beta 90.00
_cell_angle_gamma 90.00
_symmetry_space_group_name_H-M 'P 4/m b m'
_symmetry_Int_Tables_number 127
_symmetry_space_group_name_Hall '-P 4 2ab'
loop_
_atom_site_label
_atom_site_fract_x
_atom_site_fract_y
_atom_site_fract_z
Zn1 0.1634 0.3366 0.0000
Ir1 0.0000 0.0000 0.5000
Pt1 0.1363 0.6363 0.5000
# ΔE to the lowest computed polymorph   50 meV/atom
# Magnetic moment   0.34 μB/f.u.
# ΔH_f (0 K)   -80 meV/atom
# Volume   15.3 A^3/atom
# N(E_F)   0.550 states/eV/atom

***

No. 18
# PBE Ac4Zn3Cd, optimized geometry
data_Ac4Zn3Cd
_cell_length_a 3.9665
_cell_length_b 5.5838
_cell_length_c 11.1592
_cell_angle_alpha 90.00
_cell_angle_beta 90.00
_cell_angle_gamma 90.00
_symmetry_space_group_name_H-M 'P m m m'
_symmetry_Int_Tables_number 47
_symmetry_space_group_name_Hall '-P 2 2'
loop_
_atom_site_label
_atom_site_fract_x
_atom_site_fract_y
_atom_site_fract_z
Ac1 0.0000 0.0000 0.0000
Ac2 0.0000 0.0000 0.5000
Ac3 0.0000 0.5000 0.2410
Zn1 0.5000 0.0000 0.2493
Zn2 0.5000 0.5000 0.0000
Cd1 0.5000 0.5000 0.5000
# Magnetic moment   0.00 μB/f.u.
# ΔH_f (0 K)   -253 meV/atom
# Volume   30.9 A^3/atom
# N(E_F)   1.030 states/eV/atom

***

No. 19
# PBE LiCeSmS3, optimized geometry
data_LiCeSmS3
_cell_length_a 8.2471
_cell_length_b 3.8977
_cell_length_c 8.5336
_cell_angle_alpha 90.00
_cell_angle_beta 102.07
_cell_angle_gamma 90.00
_symmetry_space_group_name_H-M 'P 1 21/m 1'
_symmetry_Int_Tables_number 11
_symmetry_space_group_name_Hall '-P 2yb'
loop_
_atom_site_label
_atom_site_fract_x
_atom_site_fract_y
_atom_site_fract_z
Li1 0.0874 0.2500 0.0833
Ce1 0.1791 0.2500 0.7177
Sm1 0.3378 0.7500 0.3338
S1 0.0958 0.2500 0.3638
S2 0.2083 0.7500 0.9937
S3 0.4207 0.7500 0.6726
# Magnetic moment   1.22 μB/f.u.
# Volume   22.4 A^3/atom
# Formation energy from raw total energies   -1.807 eV/atom
# N(E_F)   1.217 states/eV/atom

***

No. 20
# PBE PrTm3Ir, optimized geometry
data_PrTm3Ir
_cell_length_a 5.3890
_cell_length_b 5.3890
_cell_length_c 5.3890
_cell_angle_alpha 90.00
_cell_angle_beta 90.00
_cell_angle_gamma 90.00
_symmetry_space_group_name_H-M 'P m -3 m'
_symmetry_Int_Tables_number 221
_symmetry_space_group_name_Hall '-P 4 2 3'
loop_
_atom_site_label
_atom_site_fract_x
_atom_site_fract_y
_atom_site_fract_z
Pr1 0.0000 0.0000 0.0000
Tm1 0.0000 0.5000 0.5000
Ir1 0.5000 0.5000 0.5000
# Magnetic moment   0.00 μB/f.u.
# ΔH_f (0 K)   -346 meV/atom
# Volume   31.3 A^3/atom
# N(E_F)   1.193 states/eV/atom